No. 1
# RbPbSeCl6, relaxed, DFT PBE-GGA
data_RbPbSeCl6
_chemical_formula_sum 'Rb1 Pb1 Se1 Cl6'
_cell_length_a 7.188
_cell_length_b 7.230
_cell_length_c 7.250
_cell_angle_alpha 117.45
_cell_angle_beta 91.65
_cell_angle_gamma 91.79
_space_group_name_H-M_alt 'P 1'
_space_group_IT_number 1
_space_group_name_Hall 'P 1'
loop_
_atom_site_label
_atom_site_type_symbol
_atom_site_fract_x
_atom_site_fract_y
_atom_site_fract_z
Rb1 Rb 0.000 0.000 0.000
Pb1 Pb 0.501 0.322 0.680
Se1 Se 0.501 0.674 0.326
Cl1 Cl 0.255 0.012 0.639
Cl2 Cl 0.300 0.407 0.329
Cl3 Cl 0.310 0.658 0.030
Cl4 Cl 0.691 0.972 0.343
Cl5 Cl 0.702 0.671 0.590
Cl6 Cl 0.748 0.363 0.986
# Calculated volume   333.8 Å³ per cell
# E_tot   -3.04 eV/atom
# Magnetic moment   1.02 μB per formula unit

***

No. 2
# RbPbSeCl, relaxed, DFT PBE-GGA
data_RbPbSeCl
_chemical_formula_sum 'Rb3 Pb3 Se3 Cl3'
_cell_length_a 4.4627
_cell_length_b 4.4627
_cell_length_c 23.7757
_cell_angle_alpha 90.00
_cell_angle_beta 90.00
_cell_angle_gamma 120.00
_space_group_name_H-M_alt 'R 3 m'
_space_group_IT_number 160
_space_group_name_Hall 'R 3 -2"'
loop_
_atom_site_label
_atom_site_type_symbol
_atom_site_fract_x
_atom_site_fract_y
_atom_site_fract_z
Rb1 Rb 0.0000 0.0000 0.0000
Pb1 Pb 0.0000 0.0000 0.5042
Se1 Se 0.0000 0.0000 0.2333
Cl1 Cl 0.0000 0.0000 0.7504
# Calculated volume   410.1 Å³ per cell
# E_tot   -3.67 eV/atom
# Magnetic moment   0.00 μB per formula unit

***

No. 3
# Rb2SiPbCl6, relaxed, DFT PBE-GGA
data_Rb2SiPbCl6
_chemical_formula_sum 'Rb8 Si4 Pb4 Cl24'
_cell_length_a 10.862
_cell_length_b 10.862
_cell_length_c 10.862
_cell_angle_alpha 90.00
_cell_angle_beta 90.00
_cell_angle_gamma 90.00
_space_group_name_H-M_alt 'F m -3 m'
_space_group_IT_number 225
_space_group_name_Hall '-F 4 2 3'
loop_
_atom_site_label
_atom_site_type_symbol
_atom_site_fract_x
_atom_site_fract_y
_atom_site_fract_z
Rb1 Rb 0.250 0.250 0.250
Si1 Si 0.000 0.000 0.000
Pb1 Pb 0.000 0.000 0.500
Cl1 Cl 0.000 0.000 0.237
# Calculated volume   1281.4 Å³ per cell
# E_tot   -3.51 eV/atom
# Magnetic moment   0.00 μB per formula unit